Zr6Bi2As GGA-PBE optimized geometry; ρ = 8.43 g/cm3; ΔE_f = -0.533 eV/atom; space-group type = P-62m, No. 189
1.0
7.772 0.000 0.000
-3.886 6.731 0.000
0.000 0.000 3.919
Zr Bi As
6 2 1
direct
0.000 0.243 0.000
0.000 0.619 0.500
0.243 0.000 0.000
0.381 0.381 0.500
0.619 0.000 0.500
0.757 0.757 0.000
0.333 0.667 0.000
0.667 0.333 0.000
0.000 0.000 0.500